1.
A plane-wave DFT calculation with GGA-PBE was carried out for Tb3Si8Os3 after structural relaxation.

Cell: 4.185 7.817 8.423 Å, 62.64 75.62 74.47°
Sites, in units of the cell vectors:
Tb (0.294, 0.755, 0.657)
Tb (0.706, 0.245, 0.343)
Tb (0.000, 0.000, 0.000)
Si (0.117, 0.149, 0.618)
Si (0.883, 0.851, 0.382)
Si (0.859, 0.441, 0.841)
Si (0.141, 0.559, 0.159)
Si (0.516, 0.668, 0.299)
Si (0.484, 0.332, 0.701)
Si (0.363, 0.023, 0.251)
Si (0.637, 0.977, 0.749)
Os (0.000, 0.500, 0.500)
Os (0.674, 0.658, 0.994)
Os (0.326, 0.342, 0.006)

Calculated values
calculated density = 9057 kg/m3
raw total energy = -7.08 eV/atom
energy above the most stable polymorph in this dataset = 0 meV/atom
SG = C2/m, No. 12
formation energy from raw total energies = -56 kJ per mole of atoms

2.
A plane-wave DFT calculation with GGA-PBE was carried out for CaYSb after structural relaxation.

Cell: 5.032 5.032 4.415 Å, 90.00 90.00 120.00°
Sites, in units of the cell vectors:
Y (0.333, 0.667, 0.569)
Sb (0.667, 0.333, 0.379)
Ca (0.000, 0.000, 0.052)

Calculated values
calculated density = 4301 kg/m3
raw total energy = -4.68 eV/atom
SG = P3m1, No. 156
formation energy from raw total energies = -47 kJ per mole of atoms